An optimized crystal structure of FeCuMo3. Source: the Alexandria database, functional PBE.

* final energy: -7.756 eV/atom
* SG: Pm-3m, No. 221
* formation enthalpy at 0 K: 1.255 eV/atom

abc: 4.429 4.429 4.429
angles: 90.00 90.00 90.00
Fractional positions:
Mo: 0.000 0.500 0.000
Mo: 0.000 0.000 0.500
Mo: 0.500 0.000 0.000
Fe: 0.000 0.000 0.000
Cu: 0.500 0.500 0.500

=====

An optimized crystal structure of Fe3CuMo. Source: the Alexandria database, functional PBE.

* final energy: -6.372 eV/atom
* SG: Pm-3m, No. 221
* formation enthalpy at 0 K: 1.691 eV/atom

abc: 4.137 4.137 4.137
angles: 90.00 90.00 90.00
Fractional positions:
Mo: 0.500 0.500 0.500
Fe: 0.000 0.500 0.000
Fe: 0.000 0.000 0.500
Fe: 0.500 0.000 0.000
Cu: 0.000 0.000 0.000

=====

An optimized crystal structure of FeCuMo2. Source: the Alexandria database, functional PBE.

* final energy: -8.298 eV/atom
* SG: Pmm2, No. 25
* formation enthalpy at 0 K: 0.257 eV/atom

abc: 2.574 4.008 5.437
angles: 90.00 90.00 90.00
Fractional positions:
Cu: 0.000 0.000 0.510
Fe: 0.500 0.500 0.735
Mo: 0.000 0.000 0.989
Mo: 0.500 0.500 0.266

=====

An optimized crystal structure of FeCuMo2. Source: the Alexandria database, functional PBE.

* final energy: -8.372 eV/atom
* SG: Cmmm, No. 65
* formation enthalpy at 0 K: 0.184 eV/atom

abc: 2.601 2.601 8.518
angles: 90.00 90.00 104.41
Fractional positions:
Cu: 0.500 0.500 0.250
Fe: 0.500 0.500 0.750
Mo: 0.000 0.000 0.995
Mo: 0.000 0.000 0.505